Entry from the Alexandria database: K2FeBO4 after structural relaxation (GGA+U).

The space group is Fddd (No. 70, origin choice 2) and the conventional cell measures 4.6625, 11.1498 and 20.4834 Å, with angles of 90.00, 90.00 and 90.00 degrees. The inequivalent atoms are K at (0.1250, 0.1250, 0.3008), Fe at (0.1250, 0.1250, 0.1250), B at (0.1250, 0.1250, 0.6250) and O at (0.0678, 0.2960, 0.8335).

The total magnetization is 0.625 μB per atom. The value obtained for the uncorrected energy is -385.01 eV per cell.